# 1
Entry from the Alexandria database: Ca2Hf4P3N2 after structural relaxation (PBE-GGA).

a b c (Å): 4.298 4.298 11.332
angles (deg): 100.93 100.93 90.00
Sites, in units of the cell vectors:
Hf 0.076 0.576 0.151
Hf 0.576 0.076 0.151
Hf 0.924 0.424 0.849
Hf 0.424 0.924 0.849
P 0.000 0.000 0.000
P 0.835 0.835 0.670
P 0.165 0.165 0.330
N 0.410 0.410 0.820
N 0.590 0.590 0.180
Ca 0.697 0.697 0.395
Ca 0.303 0.303 0.605

Calculated values
ΔE_f (raw), eV per atom: -1.18

# 2
Entry from the Alexandria database: CuHgTe2 after structural relaxation (PBE-GGA).

a b c (Å): 7.277 7.277 7.277
angles (deg): 147.89 147.89 46.05
Sites, in units of the cell vectors:
Te 0.000 0.000 0.000
Te 0.250 0.750 0.500
Cu 0.500 0.500 0.000
Hg 0.750 0.250 0.500

Calculated values
ΔE_f (raw), eV per atom: 0.30

Question: ΔE_f (raw) of number 2 (CuHgTe2)?
Answer: 0.30 eV per atom